Compound: TbNd4Dy15
Source: the Alexandria database
Functional: PBE
Structure: relaxed

Geometry as CIF:
```
data_TbNd4Dy15
_chemical_formula_sum 'Tb1 Nd4 Dy15'
_space_group_name_H-M_alt 'P 1'
_space_group_IT_number 1
_cell_length_a 5.054
_cell_length_b 5.054
_cell_length_c 25.187
_cell_angle_alpha 90.00
_cell_angle_beta 90.00
_cell_angle_gamma 90.00
loop_
_space_group_symop_operation_xyz
'x,y,z'
loop_
_atom_site_label
_atom_site_type_symbol
_atom_site_fract_x
_atom_site_fract_y
_atom_site_fract_z
Dy1 Dy 0.000 0.500 0.500
Dy2 Dy 0.500 0.500 0.600
Dy3 Dy 0.500 0.500 0.199
Dy4 Dy 0.500 0.500 0.000
Dy5 Dy 0.000 0.500 0.701
Dy6 Dy 0.000 0.500 0.299
Dy7 Dy 0.500 0.500 0.400
Dy8 Dy 0.000 0.500 0.901
Dy9 Dy 0.000 0.500 0.099
Dy10 Dy 0.500 0.500 0.801
Dy11 Dy 0.500 0.000 0.500
Dy12 Dy 0.500 0.000 0.099
Dy13 Dy 0.500 0.000 0.299
Dy14 Dy 0.500 0.000 0.701
Dy15 Dy 0.500 0.000 0.901
Nd1 Nd 0.000 0.000 0.600
Nd2 Nd 0.000 0.000 0.400
Nd3 Nd 0.000 0.000 0.199
Nd4 Nd 0.000 0.000 0.801
Tb1 Tb 0.000 0.000 0.000
```

Results
total magnetization = 0.00 μB per atom
density of states at the Fermi level = 26.6 states/eV/cell
energy relative to the elements = 0.43 kcal/mol of atoms
volume = 643.3 Å³ per cell